No. 1
## BiTeIrPd2 (GGA-PBEsol)

Data for BiTeIrPd2 after structural relaxation.

Unit cell a=4.747 b=4.747 c=5.739 alpha=90.00 beta=90.00 gamma=90.00
Positions (direct):
Bi: 0.000 0.000 0.000
Te: 0.000 0.000 0.500
Ir: 0.500 0.500 0.000
Pd: 0.000 0.500 0.500
Pd: 0.500 0.000 0.500

**Final energy**: -22.8 eV/cell
**Raw formation energy**: 6.7 eV/f.u.
**Spin magnetization**: 0.85 μB/cell
**Symmetry**: P4/mmm, No. 123

No. 2
## BeTlRu2 (GGA-PBEsol)

Data for BeTlRu2 after structural relaxation.

Unit cell a=2.970 b=2.970 c=6.448 alpha=90.00 beta=90.00 gamma=90.00
Positions (direct):
Be: 0.000 0.000 0.000
Tl: 0.500 0.500 0.693
Ru: 0.000 0.000 0.395
Ru: 0.500 0.500 0.138

**Final energy**: -25.9 eV/cell
**Relative energy among the computed polymorphs**: 0 meV per atom
**Spin magnetization**: 0.00 μB/cell
**Symmetry**: P4mm, No. 99

No. 3
## Mg3InW (GGA-PBEsol)

Data for Mg3InW after structural relaxation.

Unit cell a=5.239 b=5.239 c=5.239 alpha=90.00 beta=90.00 gamma=90.00
Positions (direct):
Mg: 0.000 0.000 0.500
Mg: 0.000 0.500 0.000
Mg: 0.500 0.000 0.000
In: 0.500 0.500 0.500
W: 0.000 0.000 0.000

**Final energy**: -15.6 eV/cell
**Spin magnetization**: 2.63 μB/cell
**Symmetry**: Pm-3m, No. 221

No. 4
## NaHfBi2S (GGA-PBEsol)

Data for NaHfBi2S after structural relaxation.

Unit cell a=5.608 b=5.608 c=4.657 alpha=90.00 beta=90.00 gamma=90.00
Positions (direct):
Na: 0.000 0.000 0.000
Hf: 0.500 0.500 0.000
Bi: 0.000 0.500 0.500
Bi: 0.500 0.000 0.500
S: 0.500 0.500 0.500

**Final energy**: -24.5 eV/cell
**Raw formation energy**: 0.3 eV/f.u.
**Spin magnetization**: 0.00 μB/cell
**Symmetry**: P4/mmm, No. 123